(1)
DFT (PBE) results for a geometry-optimized TiAs2PdBr structure.

```
TiAs2PdBr
1.0
4.840 0.000 0.000
0.000 4.840 0.000
0.000 0.000 5.129
As Pd Ti Br
2 1 1 1
Cartesian
2.420 0.000 0.000 As
0.000 2.420 0.000 As
0.000 0.000 0.000 Pd
2.420 2.420 2.565 Ti
0.000 0.000 2.565 Br
```

Results
- Space group: P4/mmm, No. 123
- E_form (uncorrected): 0.509 eV per atom
- Fermi-level density of states: 4.3 states/eV/f.u.
- E: -4.30 eV per atom
- ρ: 5.3 g cm⁻³

=====

(2)
DFT (PBE) results for a geometry-optimized TiAsPdBr2 structure.

```
TiAsPdBr2
1.0
-4.343 2.321 -0.770
-1.418 -3.669 -3.061
-2.018 -2.480 3.907
Br As Pd Ti
2 1 1 1
Cartesian
-0.709 -1.834 -1.530 Br
-2.171 1.160 -0.385 Br
-1.009 -1.240 1.954 As
-3.889 -1.914 0.038 Pd
0.000 0.000 0.000 Ti
```

Results
- Space group: P4/mmm, No. 123
- E_form (uncorrected): 0.079 eV per atom
- Fermi-level density of states: 6.7 states/eV/f.u.
- E: -4.14 eV per atom
- ρ: 5.2 g cm⁻³

=====

(3)
DFT (PBE) results for a geometry-optimized TiAs2PdBr structure.

```
TiAs2PdBr
1.0
-4.252 -1.537 -1.312
1.516 -5.170 1.142
-1.551 0.520 4.415
As Br Ti Pd
2 1 1 1
Cartesian
-0.775 0.260 2.208 As
-2.126 -0.769 -0.656 As
-2.143 -3.093 2.122 Br
0.758 -2.585 0.571 Ti
0.000 0.000 0.000 Pd
```

Results
- Space group: P4/mmm, No. 123
- E_form (uncorrected): 0.490 eV per atom
- Fermi-level density of states: 9.2 states/eV/f.u.
- E: -4.32 eV per atom
- ρ: 5.2 g cm⁻³

=====

(4)
DFT (PBE) results for a geometry-optimized TiAs2PdBr structure.

```
TiAs2PdBr
1.0
-3.587 -0.494 3.302
1.563 -4.531 1.019
2.988 1.822 3.519
As Ti Br Pd
2 1 1 1
Cartesian
-1.793 -0.247 1.651 As
0.781 -2.266 0.510 As
0.000 0.000 0.000 Ti
1.494 0.911 1.759 Br
0.482 -1.602 3.920 Pd
```

Results
- Space group: P4/mmm, No. 123
- E_form (uncorrected): 0.242 eV per atom
- Fermi-level density of states: 5.0 states/eV/f.u.
- E: -4.57 eV per atom
- ρ: 5.4 g cm⁻³

=====

(5)
DFT (PBE) results for a geometry-optimized TlAsPdBr2 structure.

```
TlAsPdBr2
1.0
-3.911 -3.910 -1.294
3.192 -1.750 -4.359
2.507 -3.592 3.277
Pd Tl As Br
1 1 1 2
Cartesian
0.894 -4.626 -1.188 Pd
0.000 0.000 0.000 Tl
1.253 -1.796 1.639 As
1.596 -0.875 -2.180 Br
-1.955 -1.955 -0.647 Br
```

Results
- Space group: P4/mmm, No. 123
- E_form (uncorrected): 0.689 eV per atom
- Fermi-level density of states: 14.4 states/eV/f.u.
- E: -2.42 eV per atom
- ρ: 5.1 g cm⁻³

=====

(6)
DFT (PBE) results for a geometry-optimized TlAsPdBr2 structure.

```
TlAsPdBr2
1.0
5.552 0.000 0.000
0.000 5.552 0.000
0.000 0.000 4.708
Br Pd As Tl
2 1 1 1
Cartesian
2.776 0.000 0.000 Br
0.000 2.776 0.000 Br
0.000 0.000 0.000 Pd
0.000 0.000 2.354 As
2.776 2.776 2.354 Tl
```

Results
- Space group: P4/mmm, No. 123
- E_form (uncorrected): -0.115 eV per atom
- Fermi-level density of states: 3.2 states/eV/f.u.
- E: -3.23 eV per atom
- ρ: 6.2 g cm⁻³

=====

(7)
DFT (PBE) results for a geometry-optimized VAs2PdBr structure.

```
VAs2PdBr
1.0
-0.706 -2.872 3.626
4.493 0.448 1.230
-1.202 4.001 2.935
As Br Pd V
2 1 1 1
Cartesian
-0.353 -1.436 1.813 As
2.246 0.224 0.615 As
-0.601 2.001 1.467 Br
1.292 0.788 3.895 Pd
0.000 0.000 0.000 V
```

Results
- Space group: P4/mmm, No. 123
- E_form (uncorrected): 0.393 eV per atom
- Fermi-level density of states: 4.3 states/eV/f.u.
- E: -4.66 eV per atom
- ρ: 5.7 g cm⁻³

=====

(8)
DFT (PBE) results for a geometry-optimized YAs2PdBr structure.

```
YAs2PdBr
1.0
5.487 0.000 0.000
0.000 5.487 0.000
0.000 0.000 5.396
Pd As Y Br
1 2 1 1
Cartesian
2.744 2.744 2.698 Pd
2.744 0.000 0.000 As
0.000 2.744 0.000 As
0.000 0.000 0.000 Y
0.000 0.000 2.698 Br
```

Results
- Space group: P4/mmm, No. 123
- E_form (uncorrected): 0.341 eV per atom
- Fermi-level density of states: 5.1 states/eV/f.u.
- E: -4.18 eV per atom
- ρ: 4.3 g cm⁻³

=====

(9)
DFT (PBE) results for a geometry-optimized YAs2PdBr structure.

```
YAs2PdBr
1.0
4.888 0.000 0.000
0.000 4.888 0.000
0.000 0.000 5.093
Br As Pd Y
1 2 1 1
Cartesian
0.000 0.000 2.547 Br
2.444 0.000 0.000 As
0.000 2.444 0.000 As
0.000 0.000 0.000 Pd
2.444 2.444 2.547 Y
```

Results
- Space group: P4/mmm, No. 123
- E_form (uncorrected): -0.192 eV per atom
- Fermi-level density of states: 2.4 states/eV/f.u.
- E: -4.72 eV per atom
- ρ: 5.8 g cm⁻³

=====

(10)
DFT (PBE) results for a geometry-optimized YAsPdBr2 structure.

```
YAsPdBr2
1.0
-4.457 1.756 -1.237
0.882 -1.101 -4.742
-2.078 -4.767 0.720
Pd Br As Y
1 2 1 1
Cartesian
0.000 0.000 0.000 Pd
0.441 -0.551 -2.371 Br
-2.228 0.878 -0.619 Br
-1.039 -2.384 0.360 As
-2.826 -2.056 -2.629 Y
```

Results
- Space group: P4/mmm, No. 123
- E_form (uncorrected): -0.310 eV per atom
- Fermi-level density of states: 1.0 states/eV/f.u.
- E: -4.24 eV per atom
- ρ: 5.6 g cm⁻³

=====

(11)
DFT (PBE) results for a geometry-optimized YAsPdBr2 structure.

```
YAsPdBr2
1.0
-4.552 -1.914 -2.337
-1.326 -2.531 4.656
-2.861 4.688 1.733
Br Pd Y As
2 1 1 1
Cartesian
-0.663 -1.266 2.328 Br
-2.276 -0.957 -1.169 Br
-4.370 0.121 2.026 Pd
0.000 0.000 0.000 Y
-1.431 2.344 0.867 As
```

Results
- Space group: P4/mmm, No. 123
- E_form (uncorrected): -0.184 eV per atom
- Fermi-level density of states: 3.2 states/eV/f.u.
- E: -4.11 eV per atom
- ρ: 4.2 g cm⁻³

=====

(12)
DFT (PBE) results for a geometry-optimized ZnAs2PdBr structure.

```
ZnAs2PdBr
1.0
4.882 0.000 0.000
0.000 4.882 0.000
0.000 0.000 5.317
Zn Br As Pd
1 1 2 1
Cartesian
2.441 2.441 2.659 Zn
0.000 0.000 2.659 Br
2.441 0.000 0.000 As
0.000 2.441 0.000 As
0.000 0.000 0.000 Pd
```

Results
- Space group: P4/mmm, No. 123
- E_form (uncorrected): 0.486 eV per atom
- Fermi-level density of states: 3.9 states/eV/f.u.
- E: -3.00 eV per atom
- ρ: 5.3 g cm⁻³

=====

Repeat the twelfth record exactly.
DFT (PBE) results for a geometry-optimized ZnAs2PdBr structure.

```
ZnAs2PdBr
1.0
4.882 0.000 0.000
0.000 4.882 0.000
0.000 0.000 5.317
Zn Br As Pd
1 1 2 1
Cartesian
2.441 2.441 2.659 Zn
0.000 0.000 2.659 Br
2.441 0.000 0.000 As
0.000 2.441 0.000 As
0.000 0.000 0.000 Pd
```

Results
- Space group: P4/mmm, No. 123
- E_form (uncorrected): 0.486 eV per atom
- Fermi-level density of states: 3.9 states/eV/f.u.
- E: -3.00 eV per atom
- ρ: 5.3 g cm⁻³